Record 1
8
Lattice="6.650 0.000 0.000 0.000 3.864 0.000 -2.272 0.000 6.336" Properties=species:S:1:pos:R:3 comment="Er2HfMgP4 (GGA-PBE, relaxed)" volume_a3_per_cell=162.8 sg="No. 10" e_form_ev_per_atom=-1.229 pbc="T T T"
Er 0.000 0.000 0.000
Er -1.136 1.932 3.168
Hf 2.189 0.000 3.168
Mg 3.325 1.932 0.000
P 1.166 1.932 1.645
P 0.057 0.000 4.750
P 4.322 0.000 1.586
P 3.213 1.932 4.691

=====

Record 2
18
Lattice="4.182 2.415 3.948 -4.182 2.415 3.948 0.000 -4.829 3.948" Properties=species:S:1:pos:R:3 comment="Er2AlSi3Ni12 (GGA-PBE, relaxed)" volume_a3_per_cell=239.2 sg="No. 166" raw_formation_energy_ev_per_atom=-0.25 pbc="T T T"
Er 0.000 0.000 1.815
Er 0.000 0.000 10.030
Al 0.000 0.000 5.923
Si -2.091 -1.207 3.948
Si -2.091 1.207 7.897
Si 0.000 2.415 3.948
Ni 0.000 -2.322 3.260
Ni -2.011 1.161 3.260
Ni -2.012 -1.162 6.229
Ni 0.000 -2.324 5.616
Ni -2.012 1.162 5.616
Ni -2.011 -1.161 8.585
Ni 2.011 1.161 3.260
Ni 2.012 -1.162 6.229
Ni 0.000 2.324 6.229
Ni 2.012 1.162 5.616
Ni 2.011 -1.161 8.585
Ni 0.000 2.322 8.585

=====

| no. | spin magnetization (μB/atom) |
| --- | --- |
| 1 | 0.000 |
| 2 | 0.000 |